Compound: LiP
Source: Alexandria via LeMat-Bulk
Functional: GGA-PBE
Structure: optimized geometry

The total moment comes out at 0.0 μB/cell. The energy of formation from the pure elements comes out at -0.227 eV/atom.

Geometry as CIF:
```
data_LiP
_chemical_formula_sum 'Li6 P6'
_cell_length_a 4.2283
_cell_length_b 4.2283
_cell_length_c 12.4676
_cell_angle_alpha 90.00
_cell_angle_beta 90.00
_cell_angle_gamma 120.00
_symmetry_space_group_name_H-M 'R -3 m'
_symmetry_Int_Tables_number 166
_symmetry_space_group_name_Hall '-R 3 2"'
loop_
_atom_site_label
_atom_site_type_symbol
_atom_site_fract_x
_atom_site_fract_y
_atom_site_fract_z
Li1 Li 0.0000 0.0000 0.1076
P1 P 0.0000 0.0000 0.3154
```